Here is an optimized crystal structure of FeSiPd2 from Alexandria via LeMat-Bulk. Energies are from PBE.

## Properties
Final energy, eV per cell: -96.546
E_form (uncorrected), eV per atom: 0.034
ρ, Mg/m³: 8.05
DOS(E_F), states/eV/f.u.: 2.10

abc: 3.7762 3.7762 17.1726
angles: 90.00 90.00 90.00
Space group I-42d (No. 122)
Asymmetric unit:
Fe: 0.0000 0.0000 0.0000
Si: 0.0000 0.0000 0.5000
Pd: 0.2454 0.2500 0.6250

Here is an optimized crystal structure of Fe3SiPd from Alexandria via LeMat-Bulk. Energies are from PBE.

## Properties
Final energy, eV per cell: -32.817
E_form (uncorrected), eV per atom: 0.637
ρ, Mg/m³: 6.61
Polymorph energy (0 for the lowest one), eV per formula unit: 0.00
DOS(E_F), states/eV/f.u.: 5.83

abc: 4.2327 4.2327 4.2327
angles: 90.00 90.00 90.00
Space group Pm-3m (No. 221)
Asymmetric unit:
Fe: 0.0000 0.0000 0.5000
Si: 0.0000 0.0000 0.0000
Pd: 0.5000 0.5000 0.5000

Here is an optimized crystal structure of FeSi2Pd from Alexandria via LeMat-Bulk. Energies are from PBE.

## Properties
Final energy, eV per cell: -99.004
E_form (uncorrected), eV per atom: -0.062
ρ, Mg/m³: 6.25
Polymorph energy (0 for the lowest one), eV per formula unit: 0.91
DOS(E_F), states/eV/f.u.: 3.28

abc: 3.8316 3.8316 15.8176
angles: 90.00 90.00 90.00
Space group I-42d (No. 122)
Asymmetric unit:
Fe: 0.0000 0.0000 0.0000
Si: 0.2184 0.2500 0.1250
Pd: 0.0000 0.0000 0.5000

Here is an optimized crystal structure of FeSiPd3 from Alexandria via LeMat-Bulk. Energies are from PBE.

## Properties
Final energy, eV per cell: -25.064
E_form (uncorrected), eV per atom: 0.880
ρ, Mg/m³: 6.92
Polymorph energy (0 for the lowest one), eV per formula unit: 2.92
DOS(E_F), states/eV/f.u.: 4.12

abc: 4.5908 4.5908 4.5908
angles: 90.00 90.00 90.00
Space group Pm-3m (No. 221)
Asymmetric unit:
Fe: 0.0000 0.0000 0.0000
Si: 0.5000 0.5000 0.5000
Pd: 0.0000 0.0000 0.5000